DFT (PBE) results for a relaxed HoGa4Rh crystal.

Unit cell a=7.228 b=7.228 c=7.228 alpha=126.25 beta=126.25 gamma=79.47
Element x y z (fractional)
Ho  0.000  0.000  0.000
Ho  0.500  0.500  0.000
Ga  0.012  0.512  0.205
Ga  0.193  0.988  0.500
Ga  0.307  0.807  0.795
Ga  0.488  0.693  0.500
Ga  0.512  0.307  0.500
Ga  0.693  0.193  0.205
Ga  0.807  0.012  0.500
Ga  0.988  0.488  0.795
Rh  0.250  0.250  0.000
Rh  0.750  0.750  0.000

Summary:
DFT total energy = -4.444 eV per atom
ΔH_f (0 K) = -437 meV per atom
Theoretical density = 7.65 g cm⁻³
Calculated volume = 19.78 Å³ per atom